Entry from Alexandria: a relaxed LiVBi2F crystal (PBE with a Hubbard U).

Output
Total moment, Bohr magnetons per cell: 0.50
Calculated total energy, eV/atom: -3.17

Structure (CIF):
```
data_LiVBi2F
_cell_length_a 4.885
_cell_length_b 4.834
_cell_length_c 4.885
_cell_angle_alpha 90.00
_cell_angle_beta 90.00
_cell_angle_gamma 90.00
_symmetry_space_group_name_H-M 'P 1'
_symmetry_Int_Tables_number 1
loop_
_symmetry_equiv_pos_as_xyz
'x,y,z'
loop_
_atom_site_label
_atom_site_fract_x
_atom_site_fract_y
_atom_site_fract_z
F1 0.500 0.500 0.500
Bi1 0.000 0.000 0.500
Bi2 0.500 0.000 0.000
Li1 0.000 0.000 0.000
V1 0.000 0.500 0.000
```